# AgAsSe, relaxed, DFT GGA-PBEsol
data_AgAsSe
_chemical_formula_sum 'Ag4 As4 Se4'
_cell_length_a 6.414
_cell_length_b 6.414
_cell_length_c 6.414
_cell_angle_alpha 90.00
_cell_angle_beta 90.00
_cell_angle_gamma 90.00
_symmetry_space_group_name_H-M 'F -4 3 m'
_symmetry_Int_Tables_number 216
_symmetry_space_group_name_Hall 'F -4 2 3'
loop_
_atom_site_label
_atom_site_fract_x
_atom_site_fract_y
_atom_site_fract_z
Ag1 0.000 0.000 0.000
As1 0.250 0.250 0.750
Se1 0.000 0.000 0.500
# * formation energy from raw total energies: 0.384 eV per atom
# * final energy: -3.71 eV/atom
# * DOS(E_F): 1.06 states/eV/f.u.


# AgAsSe, relaxed, DFT GGA-PBEsol
data_AgAsSe
_chemical_formula_sum 'Ag1 As1 Se1'
_cell_length_a 4.9278
_cell_length_b 4.9278
_cell_length_c 2.7897
_cell_angle_alpha 90.00
_cell_angle_beta 90.00
_cell_angle_gamma 120.00
_symmetry_space_group_name_H-M 'P 3 m 1'
_symmetry_Int_Tables_number 156
_symmetry_space_group_name_Hall 'P 3 -2"'
loop_
_atom_site_label
_atom_site_fract_x
_atom_site_fract_y
_atom_site_fract_z
Ag1 0.0000 0.0000 0.0000
As1 0.3333 0.6667 0.9958
Se1 0.6667 0.3333 0.9977
# * formation energy from raw total energies: 0.225 eV per atom
# * final energy: -3.86 eV/atom
# * DOS(E_F): 1.09 states/eV/f.u.